(1)
Density functional theory data (PBE) for crystalline Tl2PdF8 at its relaxed geometry.

```
Tl2PdF8
1.0
6.860 0.000 0.000
-3.430 5.941 0.000
0.000 0.000 4.524
Tl Pd F
2 1 8
Cartesian
0.000 3.960 1.182
3.430 1.980 3.342
0.000 0.000 2.262
-0.007 1.684 1.173
-1.967 5.105 1.173
1.455 0.849 3.352
0.000 3.960 3.446
3.430 1.980 1.078
1.975 5.092 1.173
5.397 0.836 3.352
3.437 4.256 3.352
```

Properties
Offset from the most stable computed form, meV per atom: 75
Formation energy without anion corrections, eV/atom: -1.515



(2)
Density functional theory data (PBE) for crystalline Tl3Pd2F9 at its relaxed geometry.

```
Tl3Pd2F9
1.0
6.111 0.000 0.000
-3.056 5.292 0.000
0.000 0.000 7.693
Tl Pd F
3 2 9
Cartesian
0.000 0.000 0.000
0.000 3.528 2.885
3.056 1.764 4.808
0.000 3.528 6.524
3.056 1.764 1.169
-1.528 2.646 0.000
0.000 1.894 5.354
-1.415 4.345 5.354
1.640 0.947 2.339
3.056 0.000 0.000
1.528 2.646 0.000
1.415 4.345 5.354
4.471 0.947 2.339
3.056 3.398 2.339
```

Properties
Formation energy without anion corrections, eV/atom: -1.517



(3)
Density functional theory data (PBE) for crystalline TlPdF at its relaxed geometry.

```
TlPdF
1.0
7.244 -1.748 0.000
7.244 1.748 0.000
-0.231 0.000 8.880
Tl Pd F
4 4 4
Cartesian
1.429 0.000 3.123
1.379 0.000 7.803
12.878 0.000 1.077
12.829 0.000 5.756
3.418 0.000 1.106
3.462 0.000 5.530
10.796 0.000 3.349
10.840 0.000 7.773
0.679 0.000 5.495
6.879 0.000 7.476
7.379 0.000 1.404
13.579 0.000 3.385
```

Properties
Formation energy without anion corrections, eV/atom: -0.888



(4)
Density functional theory data (PBE) for crystalline TlPdF4 at its relaxed geometry.

```
TlPdF4
1.0
7.214 0.000 0.000
0.000 7.214 0.000
0.000 0.000 10.817
Tl Pd F
2 2 8
Cartesian
0.000 0.000 0.000
3.607 3.607 5.408
0.000 3.607 2.704
3.607 0.000 8.113
0.315 2.009 1.517
1.598 3.922 3.892
2.009 6.899 9.300
3.292 1.598 6.925
3.922 5.616 6.925
5.205 0.315 9.300
5.616 3.292 3.892
6.899 5.205 1.517
```

Properties
Offset from the most stable computed form, meV per atom: 317
Formation energy without anion corrections, eV/atom: -1.194



(5)
Density functional theory data (PBE) for crystalline Tl4PdF5 at its relaxed geometry.

```
Tl4PdF5
1.0
-4.311 4.311 2.819
4.311 -4.311 2.819
4.311 4.311 -2.819
Tl Pd F
4 1 5
Cartesian
2.528 0.778 0.000
3.533 -1.783 2.819
0.778 6.094 0.000
1.783 3.533 2.819
0.000 0.000 2.813
5.281 2.228 -0.005
2.228 3.341 -0.005
2.083 0.970 2.814
-0.970 2.083 2.814
0.000 0.000 5.630
```

Properties
Formation energy without anion corrections, eV/atom: -1.445



(6)
Density functional theory data (PBE) for crystalline Tl2PdF8 at its relaxed geometry.

```
Tl2PdF8
1.0
4.716 -3.549 0.000
4.716 3.549 0.000
-1.402 0.000 4.936
Tl Pd F
2 1 8
Cartesian
1.064 0.000 2.080
6.966 0.000 2.856
4.716 0.000 0.000
-0.438 0.000 3.769
2.234 1.382 3.630
3.051 0.000 1.287
5.796 1.382 1.306
2.234 -1.382 3.630
4.979 0.000 3.649
5.796 -1.382 1.306
8.468 0.000 1.168
```

Properties
Offset from the most stable computed form, meV per atom: 0
Formation energy without anion corrections, eV/atom: -1.590



(7)
Density functional theory data (PBE) for crystalline Tl2Pd3F8 at its relaxed geometry.

```
Tl2Pd3F8
1.0
6.200 -3.321 0.000
6.200 3.321 0.000
-1.998 0.000 6.145
Tl Pd F
2 3 8
Cartesian
2.165 0.000 1.067
8.237 0.000 5.078
5.201 1.643 3.072
6.200 0.000 0.000
5.201 -1.643 3.072
0.422 0.000 2.983
5.062 1.444 0.835
5.340 1.444 5.310
3.749 0.000 3.173
6.653 0.000 2.972
5.062 -1.444 0.835
5.340 -1.444 5.310
9.981 0.000 3.162
```

Properties
Formation energy without anion corrections, eV/atom: -1.342



(8)
Density functional theory data (PBE) for crystalline Tl2PdF2 at its relaxed geometry.

```
Tl2PdF2
1.0
3.699 0.000 0.000
0.000 3.699 0.000
0.000 0.000 13.910
Tl Pd F
4 2 4
Cartesian
0.000 0.000 1.836
0.000 0.000 12.074
1.849 1.849 5.119
1.849 1.849 8.791
0.000 0.000 6.955
1.849 1.849 0.000
0.000 1.849 3.477
0.000 1.849 10.432
1.849 0.000 3.477
1.849 0.000 10.432
```

Properties
Formation energy without anion corrections, eV/atom: -1.027



(9)
Density functional theory data (PBE) for crystalline YTlPdF2 at its relaxed geometry.

```
YTlPdF2
1.0
4.299 0.000 0.000
0.000 4.299 0.000
0.000 0.000 5.890
Y Tl Pd F
1 1 1 2
Cartesian
0.000 0.000 0.000
2.149 2.149 2.945
0.000 0.000 2.945
0.000 2.149 0.000
2.149 0.000 0.000
```

Properties
Formation energy without anion corrections, eV/atom: -2.121



(10)
Density functional theory data (PBE) for crystalline Tl3Zn2PdF9 at its relaxed geometry.

```
Tl3Zn2PdF9
1.0
6.017 0.000 0.000
-3.008 5.211 0.000
0.000 0.000 7.393
Tl Zn Pd F
3 2 1 9
Cartesian
0.000 0.000 0.000
0.000 3.474 4.893
3.008 1.737 2.500
0.000 3.474 1.162
3.008 1.737 6.231
0.000 0.000 3.696
-1.504 2.605 0.000
0.000 1.799 2.390
-1.451 4.311 2.390
1.558 0.899 5.003
3.008 0.000 0.000
1.504 2.605 0.000
1.451 4.311 2.390
4.459 0.899 5.003
3.008 3.412 5.003
```

Properties
Formation energy without anion corrections, eV/atom: -1.875



(11)
Density functional theory data (PBE) for crystalline TlZnPdF6 at its relaxed geometry.

```
TlZnPdF6
1.0
-3.624 4.059 5.203
3.624 -4.059 5.203
3.624 4.059 -5.203
Tl Zn Pd F
2 2 2 12
Cartesian
0.000 2.029 0.953
3.624 2.029 4.251
1.812 2.029 -2.602
1.812 -2.029 2.602
3.624 0.000 0.000
0.000 0.000 5.203
2.160 -0.459 1.272
5.088 -0.459 1.272
3.624 -2.029 3.402
3.624 2.029 0.695
2.160 3.600 -1.272
1.464 -0.459 3.931
2.160 4.517 1.272
1.464 0.459 6.476
0.000 2.029 4.508
0.000 6.088 1.801
-1.464 4.517 3.931
1.464 4.517 3.931
```

Properties
Formation energy without anion corrections, eV/atom: -1.760



(12)
Density functional theory data (PBE) for crystalline TmPdF at its relaxed geometry.

```
TmPdF
1.0
7.859 -2.034 0.000
7.859 2.034 0.000
-0.107 0.000 7.748
Tm Pd F
4 4 4
Cartesian
1.727 0.000 0.856
1.980 0.000 4.902
13.633 0.000 2.846
13.885 0.000 6.893
3.799 0.000 6.846
3.925 0.000 2.849
11.688 0.000 4.899
11.814 0.000 0.902
0.557 0.000 6.573
6.678 0.000 6.656
8.935 0.000 1.092
15.055 0.000 1.175
```

Properties
Formation energy without anion corrections, eV/atom: -2.034



(13)
Density functional theory data (PBE) for crystalline UPd2F11 at its relaxed geometry.

```
UPd2F11
1.0
-3.799 4.976 5.694
3.799 -4.976 5.694
3.799 4.976 -5.694
U Pd F
2 4 22
Cartesian
0.000 0.000 2.847
0.000 0.000 8.541
4.849 1.772 0.000
1.049 3.203 0.000
2.750 1.772 5.694
-1.049 3.203 5.694
3.799 0.000 0.000
4.477 -3.289 3.984
1.667 -0.642 1.652
4.477 3.289 -1.710
5.932 0.642 1.652
2.765 2.240 0.000
2.765 -2.240 5.694
2.133 4.333 -1.652
0.678 1.686 1.710
1.667 0.642 4.042
4.477 3.289 1.710
0.000 4.976 0.000
-0.678 1.686 3.984
2.133 4.333 1.652
3.121 3.289 3.984
1.667 0.642 7.346
1.034 7.216 0.000
1.034 2.735 5.694
-2.133 4.333 4.042
-0.678 1.686 7.404
2.133 5.618 4.042
-0.678 8.265 1.710
```

Properties
Formation energy without anion corrections, eV/atom: -2.067